Entry 1:
A relaxed structure of HPd, computed with PBE.

Computed properties:
Its symmetry is P4_32_12 (96). For the volume, the calculation gives 8.88 Å³/atom. The value obtained for the density of states at the Fermi level is 0.298 states/eV/atom. The value obtained for the relative energy among the computed polymorphs is 34 meV/atom. The calculated total energy comes out at -4.349 eV per atom.

Lattice parameters (Å, degrees): 2.970 2.970 8.048 90.00 90.00 90.00
Fractional coordinates of all 8 atoms:
H1 0.047 0.047 0.000
H2 0.453 0.547 0.750
H3 0.547 0.453 0.250
H4 0.953 0.953 0.500
Pd1 0.005 0.995 0.750
Pd2 0.495 0.495 0.000
Pd3 0.505 0.505 0.500
Pd4 0.995 0.005 0.250



Entry 2:
A relaxed structure of HPd3, computed with PBE.

Computed properties:
Its symmetry is I-4 (82). For the volume, the calculation gives 13.02 Å³/atom. The value obtained for the density of states at the Fermi level is 1.283 states/eV/atom. The value obtained for the relative energy among the computed polymorphs is 81 meV/atom. The calculated total energy comes out at -4.652 eV per atom.

Lattice parameters (Å, degrees): 7.070 7.070 7.070 96.29 96.29 141.33
Fractional coordinates of all 16 atoms:
H1 0.510 0.254 0.437
H2 0.746 0.183 0.256
H3 0.817 0.072 0.563
H4 0.928 0.490 0.744
Pd1 0.020 0.014 0.606
Pd2 0.154 0.507 0.637
Pd3 0.167 0.361 0.999
Pd4 0.362 0.168 0.001
Pd5 0.408 0.414 0.394
Pd6 0.483 0.846 0.352
Pd7 0.493 0.131 0.648
Pd8 0.586 0.980 0.994
Pd9 0.639 0.638 0.806
Pd10 0.832 0.833 0.194
Pd11 0.869 0.517 0.363
Pd12 0.986 0.592 0.006



Entry 3:
A relaxed structure of HPd5, computed with PBE.

Computed properties:
Its symmetry is P1 (1). For the volume, the calculation gives 13.45 Å³/atom. The value obtained for the density of states at the Fermi level is 2.083 states/eV/atom. The value obtained for the relative energy among the computed polymorphs is 0 meV/atom. The calculated total energy comes out at -4.898 eV per atom.

Lattice parameters (Å, degrees): 2.820 4.915 6.345 97.27 102.58 106.28
Fractional coordinates of all 6 atoms:
H1 0.000 0.000 0.000
Pd1 0.051 0.457 0.641
Pd2 0.259 0.257 0.255
Pd3 0.442 0.053 0.827
Pd4 0.646 0.849 0.438
Pd5 0.841 0.636 0.042